Entry 1:
Sr2CrAu | PBE | optimized geometry

Energy relative to the lowest polymorph listed for this composition, eV/atom: 0.110
Energy of formation from the pure elements, meV/atom: 38

Cell and atoms, written as CIF:
```
data_Sr2CrAu
_cell_length_a 3.918
_cell_length_b 3.918
_cell_length_c 7.948
_cell_angle_alpha 90.00
_cell_angle_beta 90.00
_cell_angle_gamma 90.00
_space_group_name_H-M_alt 'P 4/m m m'
_space_group_IT_number 123
_space_group_name_Hall '-P 4 2'
loop_
_atom_site_label
_atom_site_fract_x
_atom_site_fract_y
_atom_site_fract_z
Sr1 0.000 0.000 0.233
Cr1 0.500 0.500 0.500
Au1 0.500 0.500 0.000
```

=====

Entry 2:
TmTaBiO6 | PBE | optimized geometry

Energy relative to the elements, uncorrected, eV/atom: -2.450

Cell and atoms, written as CIF:
```
data_TmTaBiO6
_cell_length_a 5.005
_cell_length_b 5.005
_cell_length_c 10.093
_cell_angle_alpha 90.00
_cell_angle_beta 90.00
_cell_angle_gamma 90.00
_space_group_name_H-M_alt 'P 42 n m'
_space_group_IT_number 102
loop_
_space_group_symop_operation_xyz
'x,y,z'
'-y+1/2,x+1/2,z+1/2'
'-x,-y,z'
'y+1/2,-x+1/2,z+1/2'
'-x+1/2,y+1/2,z+1/2'
'y,x,z'
'x+1/2,-y+1/2,z+1/2'
'-y,-x,z'
loop_
_atom_site_label
_atom_site_fract_x
_atom_site_fract_y
_atom_site_fract_z
Tm1 0.000 0.000 0.000
Ta1 0.000 0.000 0.664
Bi1 0.000 0.000 0.330
O1 0.183 0.183 0.820
O2 0.188 0.188 0.518
O3 0.214 0.214 0.164
```

=====

Entry 3:
CaDyPdO4 | PBE | optimized geometry

Energy relative to the elements, uncorrected, eV/atom: -2.213

Cell and atoms, written as CIF:
```
data_CaDyPdO4
_cell_length_a 6.978
_cell_length_b 7.311
_cell_length_c 7.821
_cell_angle_alpha 90.00
_cell_angle_beta 90.00
_cell_angle_gamma 90.00
_space_group_name_H-M_alt 'I m m a'
_space_group_IT_number 74
_space_group_name_Hall '-I 2b 2'
loop_
_atom_site_label
_atom_site_fract_x
_atom_site_fract_y
_atom_site_fract_z
Ca1 0.000 0.250 0.183
Dy1 0.250 0.250 0.750
Pd1 0.000 0.000 0.500
O1 0.000 0.052 0.758
O2 0.190 0.250 0.461
```

=====

Entry 4:
HgAu2Cl | PBE | optimized geometry

Energy relative to the lowest polymorph listed for this composition, eV/atom: 0.334
Energy relative to the elements, uncorrected, eV/atom: 0.300

Cell and atoms, written as CIF:
```
data_HgAu2Cl
_cell_length_a 6.927
_cell_length_b 6.927
_cell_length_c 6.927
_cell_angle_alpha 90.00
_cell_angle_beta 90.00
_cell_angle_gamma 90.00
_space_group_name_H-M_alt 'F m -3 m'
_space_group_IT_number 225
_space_group_name_Hall '-F 4 2 3'
loop_
_atom_site_label
_atom_site_fract_x
_atom_site_fract_y
_atom_site_fract_z
Hg1 0.000 0.000 0.000
Au1 0.250 0.250 0.250
Cl1 0.000 0.000 0.500
```

=====

Entry 5:
Pm4Cu3Rh | PBE | optimized geometry

Energy of formation from the pure elements, meV/atom: -347

Cell and atoms, written as CIF:
```
data_Pm4Cu3Rh
_cell_length_a 3.880
_cell_length_b 4.490
_cell_length_c 10.675
_cell_angle_alpha 90.00
_cell_angle_beta 90.00
_cell_angle_gamma 90.00
_space_group_name_H-M_alt 'P m m 2'
_space_group_IT_number 25
loop_
_space_group_symop_operation_xyz
'x,y,z'
'-x,-y,z'
'-x,y,z'
'x,-y,z'
loop_
_atom_site_label
_atom_site_fract_x
_atom_site_fract_y
_atom_site_fract_z
Pm1 0.000 0.000 0.000
Pm2 0.000 0.500 0.271
Pm3 0.500 0.000 0.488
Pm4 0.500 0.500 0.774
Cu1 0.000 0.000 0.700
Cu2 0.000 0.500 0.565
Cu3 0.500 0.500 0.060
Rh1 0.500 0.000 0.214
```

=====

Entry 6:
BaPr2NdHg4 | PBE | optimized geometry

Energy of formation from the pure elements, meV/atom: -440

Cell and atoms, written as CIF:
```
data_BaPr2NdHg4
_cell_length_a 5.5451
_cell_length_b 5.5451
_cell_length_c 27.5631
_cell_angle_alpha 90.00
_cell_angle_beta 90.00
_cell_angle_gamma 120.00
_space_group_name_H-M_alt 'R -3 m'
_space_group_IT_number 166
_space_group_name_Hall '-R 3 2"'
loop_
_atom_site_label
_atom_site_fract_x
_atom_site_fract_y
_atom_site_fract_z
Ba1 0.0000 0.0000 0.0000
Pr1 0.0000 0.0000 0.2481
Nd1 0.0000 0.0000 0.5000
Hg1 0.0000 0.0000 0.1291
Hg2 0.0000 0.0000 0.3823
```

=====

Entry 7:
Li5Th3S12 | PBE | optimized geometry

Energy relative to the elements, uncorrected, eV/atom: -1.060

Cell and atoms, written as CIF:
```
data_Li5Th3S12
_cell_length_a 15.727
_cell_length_b 15.727
_cell_length_c 15.727
_cell_angle_alpha 90.00
_cell_angle_beta 90.00
_cell_angle_gamma 90.00
_space_group_name_H-M_alt 'I a -3 d'
_space_group_IT_number 230
_space_group_name_Hall '-I 4bd 2c 3'
loop_
_atom_site_label
_atom_site_fract_x
_atom_site_fract_y
_atom_site_fract_z
Li1 0.000 0.000 0.000
Li2 0.000 0.250 0.375
Th1 0.000 0.250 0.125
S1 0.021 0.078 0.669
```

=====

Entry 8:
V6SnAu | PBE | optimized geometry

Energy of formation from the pure elements, meV/atom: 14

Cell and atoms, written as CIF:
```
data_V6SnAu
_cell_length_a 4.450
_cell_length_b 5.448
_cell_length_c 9.975
_cell_angle_alpha 90.00
_cell_angle_beta 90.00
_cell_angle_gamma 90.00
_space_group_name_H-M_alt 'A m m 2'
_space_group_IT_number 38
loop_
_space_group_symop_operation_xyz
'x,y,z'
'-x,-y,z'
'-x,y,z'
'x,-y,z'
'x,y+1/2,z+1/2'
'-x,-y+1/2,z+1/2'
'-x,y+1/2,z+1/2'
'x,-y+1/2,z+1/2'
loop_
_atom_site_label
_atom_site_fract_x
_atom_site_fract_y
_atom_site_fract_z
V1 0.000 0.000 0.000
V2 0.000 0.218 0.239
V3 0.500 0.000 0.337
V4 0.500 0.223 0.097
Sn1 0.000 0.000 0.502
Au1 0.500 0.000 0.835
```

=====

Summary of electronic total energy in eV/cell
-16.1; -144.0; -188.5; -30.0; -41.4; -62.9; -820.4; -123.8
(order as listed above)
Summary of V in Å³/f.u.
121.99; 126.41; 99.75; 83.11; 185.96; 244.65; 486.26; 120.92
(order as listed above)